Record 1
Computed, not measured: InHg2BiI after structural relaxation at the GGA-PBE level of DFT.

Cell lengths 5.942, 5.942, 6.003 Å; angles 90.00, 90.00, 90.00 degrees
Element x y z (fractional)
1 Hg 0.000 0.500 0.000
2 I 0.500 0.500 0.500
3 Bi 0.000 0.000 0.000
4 Hg 0.500 0.000 0.000
5 In 0.000 0.000 0.500

Properties
E_form (uncorrected) in meV/atom: 12
VASP energy in eV for the cell shown: -8.71
Total moment in μB per cell: 0.000

Record 2
Computed, not measured: K2HgBiI6 after structural relaxation at the GGA-PBE level of DFT.

Cell lengths 8.539, 8.545, 8.829 Å; angles 61.06, 61.05, 60.01 degrees
Element x y z (fractional)
1 K 0.028 0.027 0.918
2 I 0.987 0.574 0.269
3 K 0.532 0.533 0.402
4 I 0.666 0.089 0.773
5 I 0.574 0.170 0.269
6 Hg 0.820 0.820 0.539
7 Bi 0.324 0.324 0.029
8 I 0.473 0.666 0.773
9 I 0.170 0.987 0.269
10 I 0.089 0.472 0.774

Properties
E_form (uncorrected) in meV/atom: -771
VASP energy in eV for the cell shown: -23.39
Total moment in μB per cell: 0.000

Record 3
Computed, not measured: MnHgBiI6 after structural relaxation at the GGA-PBE level of DFT.

Cell lengths 7.638, 7.639, 7.424 Å; angles 90.01, 90.00, 60.00 degrees
Each line ends with the local moment (μB).
Element x y z (fractional)
1 I 0.369 0.976 0.729  -0.01
2 Mn 0.667 0.667 0.500  4.18
3 I 0.976 0.369 0.271  -0.01
4 I 0.976 0.655 0.729  -0.01
5 I 0.369 0.655 0.271  -0.01
6 I 0.655 0.369 0.729  -0.01
7 Hg 0.000 0.000 0.000  -0.16
8 I 0.655 0.976 0.271  -0.01
9 Bi 0.333 0.333 0.500  0.00

Properties
E_form (uncorrected) in meV/atom: -330
VASP energy in eV for the cell shown: -25.63
Total moment in μB per cell: 4.224

Record 4
Computed, not measured: HgBiIN2 after structural relaxation at the GGA-PBE level of DFT.

Cell lengths 4.422, 4.422, 7.442 Å; angles 90.00, 90.00, 90.00 degrees
Each line ends with the local moment (μB).
Element x y z (fractional)
1 N 0.000 0.500 0.000  0.68
2 Hg 0.500 0.500 0.500  0.00
3 N 0.500 0.000 0.000  0.68
4 I 0.000 0.000 0.500  -0.01
5 Bi 0.000 0.000 0.000  -0.11

Properties
E_form (uncorrected) in meV/atom: 1381
VASP energy in eV for the cell shown: -15.48
Total moment in μB per cell: 1.855

Record 5
Computed, not measured: HgBiIN2 after structural relaxation at the GGA-PBE level of DFT.

Cell lengths 4.517, 4.517, 6.520 Å; angles 90.00, 90.00, 90.00 degrees
Each line ends with the local moment (μB).
Element x y z (fractional)
1 N 0.000 0.500 0.000  1.07
2 Hg 0.000 0.000 0.000  0.03
3 N 0.500 0.000 0.000  1.07
4 Bi 0.500 0.500 0.500  -0.36
5 I 0.000 0.000 0.500  -0.01

Properties
E_form (uncorrected) in meV/atom: 1831
VASP energy in eV for the cell shown: -13.23
Total moment in μB per cell: 2.585

Record 6
Computed, not measured: HgBi2IO8 after structural relaxation at the GGA-PBE level of DFT.

Cell lengths 4.966, 4.967, 7.362 Å; angles 90.00, 90.00, 91.88 degrees
Element x y z (fractional)
1 O 0.181 0.819 0.192
2 O 0.720 0.721 0.000
3 Bi 0.500 0.500 0.250
4 O 0.693 0.693 0.500
5 O 0.181 0.819 0.808
6 I 0.000 0.000 0.000
7 O 0.307 0.307 0.500
8 Hg 0.000 0.000 0.500
9 O 0.819 0.181 0.808
10 O 0.819 0.181 0.192
11 O 0.280 0.279 0.000
12 Bi 0.500 0.500 0.750

Properties
E_form (uncorrected) in meV/atom: -622
VASP energy in eV for the cell shown: -56.75
Total moment in μB per cell: 0.000